## SmIn3Rh4 (PBE-GGA)

Data for a relaxed structure of SmIn3Rh4.

a b c (Å): 4.578 4.578 6.843
angles (deg): 90.00 90.00 90.00
Element x y z (fractional)
Sm: 0.000 0.000 0.000
In: 0.000 0.000 0.500
In: 0.500 0.500 0.000
In: 0.500 0.500 0.500
Rh: 0.000 0.500 0.265
Rh: 0.000 0.500 0.735
Rh: 0.500 0.000 0.265
Rh: 0.500 0.000 0.735

- Space group: No. 123
- Energy relative to the elements: -0.57 eV/atom
- Total energy: -5.859 eV/atom
- Theoretical density: 10.49 g/cm3
- DOS(E_F): 1.24 states/eV per cell

## CsRbMgPb (PBE-GGA)

Data for a relaxed structure of CsRbMgPb.

a b c (Å): 8.574 8.574 8.574
angles (deg): 90.00 90.00 90.00
Element x y z (fractional)
Cs: 0.000 0.000 0.000
Cs: 0.000 0.500 0.500
Cs: 0.500 0.000 0.500
Cs: 0.500 0.500 0.000
Rb: 0.250 0.250 0.750
Rb: 0.250 0.750 0.250
Rb: 0.750 0.250 0.250
Rb: 0.750 0.750 0.750
Mg: 0.250 0.250 0.250
Mg: 0.250 0.750 0.750
Mg: 0.750 0.250 0.750
Mg: 0.750 0.750 0.250
Pb: 0.000 0.000 0.500
Pb: 0.000 0.500 0.000
Pb: 0.500 0.000 0.000
Pb: 0.500 0.500 0.500

- Space group: No. 216
- Energy relative to the elements: 0.04 eV/atom
- Total energy: -1.736 eV/atom
- Theoretical density: 4.74 g/cm3
- DOS(E_F): 2.07 states/eV per cell

## Y2ZrCl (PBE-GGA)

Data for a relaxed structure of Y2ZrCl.

a b c (Å): 3.542 5.802 10.162
angles (deg): 90.00 90.00 90.00
Element x y z (fractional)
Y: 0.000 0.000 0.000
Y: 0.000 0.500 0.295
Y: 0.500 0.000 0.295
Y: 0.500 0.500 0.000
Zr: 0.000 0.000 0.558
Zr: 0.500 0.500 0.558
Cl: 0.000 0.500 0.773
Cl: 0.500 0.000 0.773

- Excess energy over the best structure of this formula in the dataset: 0.301 eV/atom
- Space group: No. 35
- Energy relative to the elements, uncorrected: -0.317 eV per atom
- Total energy: -6.147 eV/atom
- Theoretical density: 4.84 g/cm3
- DOS(E_F): 12.61 states/eV per cell